[1]
ZnCdMoO4 | GGA+U | optimized geometry

POSCAR file:
```
ZnCdMoO4
1.0
-3.119 3.222 4.571
3.119 -3.222 4.571
3.119 3.222 -4.571
Zn Cd Mo O
2 2 2 8
direct
0.390 0.140 0.250
0.610 0.860 0.750
0.000 0.000 0.500
0.000 0.500 0.000
0.000 0.500 0.500
0.500 0.500 0.000
0.229 0.722 0.507
0.257 0.279 0.522
0.257 0.735 0.978
0.284 0.278 0.007
0.716 0.722 0.993
0.743 0.265 0.022
0.743 0.721 0.478
0.771 0.278 0.493
```

Calculated values
As for the crystal system: orthorhombic. The total DFT energy (no corrections) is -5.5229 eV/atom. For the calculated volume, the calculation gives 13.1 Å³/atom. As for the total moment: 0.2857 μB/atom.

[2]
Zn2CdMoO6 | GGA+U | optimized geometry

POSCAR file:
```
Zn2CdMoO6
1.0
6.318 -5.321 0.000
6.318 5.321 0.000
-3.027 0.000 5.860
Zn Cd Mo O
4 2 2 12
direct
0.177 0.278 0.184
0.278 0.177 0.684
0.722 0.823 0.316
0.823 0.722 0.816
0.095 0.905 0.750
0.905 0.095 0.250
0.285 0.715 0.250
0.715 0.285 0.750
0.119 0.749 0.001
0.131 0.235 0.423
0.235 0.131 0.923
0.251 0.881 0.499
0.265 0.507 0.262
0.493 0.735 0.238
0.507 0.265 0.762
0.735 0.493 0.738
0.749 0.119 0.501
0.765 0.869 0.077
0.869 0.765 0.577
0.881 0.251 0.999
```

Calculated values
As for the crystal system: monoclinic. The total DFT energy (no corrections) is -5.3593 eV/atom. For the calculated volume, the calculation gives 19.7 Å³/atom. As for the total moment: 0.0000 μB/atom.

Copy entry 1 word for word.
ZnCdMoO4 | GGA+U | optimized geometry

POSCAR file:
```
ZnCdMoO4
1.0
-3.119 3.222 4.571
3.119 -3.222 4.571
3.119 3.222 -4.571
Zn Cd Mo O
2 2 2 8
direct
0.390 0.140 0.250
0.610 0.860 0.750
0.000 0.000 0.500
0.000 0.500 0.000
0.000 0.500 0.500
0.500 0.500 0.000
0.229 0.722 0.507
0.257 0.279 0.522
0.257 0.735 0.978
0.284 0.278 0.007
0.716 0.722 0.993
0.743 0.265 0.022
0.743 0.721 0.478
0.771 0.278 0.493
```

Calculated values
As for the crystal system: orthorhombic. The total DFT energy (no corrections) is -5.5229 eV/atom. For the calculated volume, the calculation gives 13.1 Å³/atom. As for the total moment: 0.2857 μB/atom.

> Look up the calculated volume of the second one.

19.7 Å³/atom

Please write out number 2 again, unchanged.
Zn2CdMoO6 | GGA+U | optimized geometry

POSCAR file:
```
Zn2CdMoO6
1.0
6.318 -5.321 0.000
6.318 5.321 0.000
-3.027 0.000 5.860
Zn Cd Mo O
4 2 2 12
direct
0.177 0.278 0.184
0.278 0.177 0.684
0.722 0.823 0.316
0.823 0.722 0.816
0.095 0.905 0.750
0.905 0.095 0.250
0.285 0.715 0.250
0.715 0.285 0.750
0.119 0.749 0.001
0.131 0.235 0.423
0.235 0.131 0.923
0.251 0.881 0.499
0.265 0.507 0.262
0.493 0.735 0.238
0.507 0.265 0.762
0.735 0.493 0.738
0.749 0.119 0.501
0.765 0.869 0.077
0.869 0.765 0.577
0.881 0.251 0.999
```

Calculated values
As for the crystal system: monoclinic. The total DFT energy (no corrections) is -5.3593 eV/atom. For the calculated volume, the calculation gives 19.7 Å³/atom. As for the total moment: 0.0000 μB/atom.